Entry 1:
# LiLaIn2Ni

Crystalline LiLaIn2Ni at its relaxed geometry (PBE-GGA, Alexandria).

```
LiLaIn2Ni
1.0
4.9396 0.0000 0.0000
0.0000 4.9396 0.0000
0.0000 0.0000 4.7965
La Ni In Li
1 1 2 1
Direct
0.5000 0.5000 0.5000
0.0000 0.0000 0.0000
0.0000 0.5000 0.0000
0.5000 0.0000 0.0000
0.0000 0.0000 0.5000
```

Output
- Calculated formation energy: -0.257 eV/atom
- Density: 6.2 g/cm3
- Total moment: 0.000 μB per atom


Entry 2:
# AcNd3

Crystalline AcNd3 at its relaxed geometry (PBE-GGA, Alexandria).

```
AcNd3
1.0
3.7955 0.0000 0.0000
0.0000 6.5325 0.0000
-1.8977 -3.2663 6.0920
Nd Ac
3 1
Direct
0.7530 0.0864 0.5059
0.2470 0.5805 0.4941
0.5000 0.5027 0.0000
0.0000 0.9971 0.0000
```

Output
- Calculated formation energy: 0.045 eV/atom
- Density: 7.3 g/cm3
- Total moment: 0.000 μB per atom


Entry 3:
# Nd2GaNi5

Crystalline Nd2GaNi5 at its relaxed geometry (PBE-GGA, Alexandria).

```
Nd2GaNi5
1.0
5.8539 -0.0676 -0.0963
-2.9409 5.0620 0.0963
-2.9409 -1.6314 4.7929
Nd Ni Ga
2 5 1
Direct
0.5000 0.2399 0.7399
0.5000 0.7399 0.2399
0.5786 0.2812 0.2812
0.0000 0.2845 0.2845
0.4214 0.7027 0.7027
0.0000 0.2812 0.7027
0.0000 0.7027 0.2812
0.0000 0.9899 0.9899
```

Output
- Calculated formation energy: -0.266 eV/atom
- Density: 7.7 g/cm3
- Total moment: 0.000 μB per atom


Entry 4:
# CsAs2PbO6

Crystalline CsAs2PbO6 at its relaxed geometry (PBE-GGA, Alexandria).

```
CsAs2PbO6
1.0
-1.4133 -4.8212 6.0076
-4.7003 -4.1928 -4.6541
5.5598 -2.3020 -1.8498
Cs O Pb As
2 12 2 4
Direct
0.8053 0.1947 0.7500
0.1947 0.8053 0.2500
0.8252 0.8495 0.9688
0.9527 0.3916 0.2401
0.3916 0.9527 0.7401
0.6782 0.5594 0.6393
0.4406 0.3218 0.8607
0.8495 0.8252 0.4688
0.1748 0.1505 0.0312
0.6084 0.0473 0.2599
0.5594 0.6782 0.1393
0.0473 0.6084 0.7599
0.3218 0.4406 0.3607
0.1505 0.1748 0.5312
0.6098 0.3902 0.2500
0.3902 0.6098 0.7500
0.2933 0.1434 0.7901
0.8566 0.7067 0.7099
0.1434 0.2933 0.2901
0.7067 0.8566 0.2099
```

Output
- Density: 5.2 g/cm3
- Formation energy from raw total energies: -1.275 eV/atom
- Total moment: 0.000 μB per atom


Entry 5:
# Ti2Te3

Crystalline Ti2Te3 at its relaxed geometry (PBE-GGA, Alexandria).

```
Ti2Te3
1.0
7.4857 0.0116 0.0023
-2.1901 7.5568 0.0159
-2.3404 -0.8243 8.9023
Ti Te
8 12
Direct
0.5074 0.2414 0.0193
0.4926 0.7586 0.9807
0.1693 0.1632 0.1621
0.1495 0.4379 0.6476
0.1550 0.8852 0.6643
0.8505 0.5621 0.3524
0.8307 0.8368 0.8379
0.8450 0.1148 0.3357
0.7676 0.8172 0.5234
0.8873 0.8389 0.1488
0.1127 0.1611 0.8512
0.2324 0.1828 0.4766
0.9057 0.3589 0.1289
0.7570 0.3124 0.5383
0.4506 0.4932 0.2005
0.4399 0.9759 0.2045
0.2430 0.6876 0.4617
0.5494 0.5068 0.7995
0.5601 0.0241 0.7955
0.0943 0.6411 0.8711
```

Output
- Density: 6.3 g/cm3
- Formation energy from raw total energies: -0.719 eV/atom
- Total moment: 0.036 μB per atom


Entry 6:
# Ac2CeUN4

Crystalline Ac2CeUN4 at its relaxed geometry (PBE-GGA, Alexandria).

```
Ac2CeUN4
1.0
-1.0232 2.9282 1.9110
1.0380 -3.1308 5.3532
5.4297 3.0225 -1.7240
Ac N Ce U
2 4 1 1
Direct
0.5000 0.0000 0.5000
0.0000 0.5000 0.5000
0.0000 0.2391 0.8073
0.0000 0.7609 0.1927
0.5000 0.7895 0.8105
0.5000 0.2105 0.1895
0.5000 0.5000 0.0000
0.0000 0.0000 0.0000
```

Output
- Density: 10.5 g/cm3
- Formation energy from raw total energies: -1.282 eV/atom
- Total moment: 0.019 μB per atom


Entry 7:
# TlCd3As3

Crystalline TlCd3As3 at its relaxed geometry (PBE-GGA, Alexandria).

```
TlCd3As3
1.0
-5.7466 -4.2660 2.3731
-2.0244 -1.2529 -7.1544
4.4421 -6.0898 -0.1905
Cd Tl As
6 2 6
Direct
0.5000 0.0000 0.7500
0.5000 0.0000 0.2500
0.2500 0.5000 0.0000
0.0000 0.2500 0.5000
0.0000 0.7500 0.5000
0.7500 0.5000 0.0000
0.5000 0.5000 0.5000
0.0000 0.0000 0.0000
0.0000 0.5000 0.7500
0.0000 0.5000 0.2500
0.7500 0.0000 0.5000
0.2500 0.0000 0.5000
0.5000 0.7500 0.0000
0.5000 0.2500 0.0000
```

Output
- Calculated formation energy: 0.116 eV/atom
- Density: 5.9 g/cm3
- Total moment: 0.000 μB per atom


Entry 8:
# Hg2AuI

Crystalline Hg2AuI at its relaxed geometry (PBE-GGA, Alexandria).

```
Hg2AuI
1.0
4.7311 0.0000 0.0000
2.3656 4.0973 0.0000
2.3656 1.3658 7.4266
I Au Hg
1 1 2
Direct
0.0000 0.0000 0.0000
0.5000 0.5000 0.5000
0.8710 0.8710 0.3870
0.1290 0.1290 0.6130
```

Output
- Density: 8.4 g/cm3
- Energy above the most stable polymorph in this dataset: 0 meV per atom
- Formation energy from raw total energies: 0.021 eV/atom
- Total moment: 0.000 μB per atom


Entry 9:
# SrTl14Cd

Crystalline SrTl14Cd at its relaxed geometry (PBE-GGA, Alexandria).

```
SrTl14Cd
1.0
-0.6928 -6.8281 -1.5147
3.7214 1.8546 5.6665
-9.3970 -0.4481 6.3181
Tl Sr Cd
14 1 1
Direct
0.4146 0.5854 0.2636
0.0897 0.9103 0.0000
0.0663 0.4067 0.5000
0.4146 0.5854 0.7364
0.9131 0.0869 0.7564
0.9070 0.5755 0.7516
0.9070 0.5755 0.2484
0.5933 0.9337 0.5000
0.4245 0.0930 0.2484
0.5856 0.4144 0.0000
0.9131 0.0869 0.2436
0.4245 0.0930 0.7516
0.0936 0.4165 0.0000
0.5835 0.9064 0.0000
0.0851 0.9149 0.5000
0.5845 0.4155 0.5000
```

Output
- Calculated formation energy: -0.054 eV/atom
- Density: 10.4 g/cm3
- Total moment: 0.000 μB per atom


Entry 10:
# K3PuS4

Crystalline K3PuS4 at its relaxed geometry (PBE-GGA, Alexandria).

```
K3PuS4
1.0
-0.4750 -3.6760 1.9033
7.5423 -1.2823 -0.5941
-1.4537 3.6116 6.6126
S K Pu
4 3 1
Direct
0.0000 0.2016 0.2016
0.5000 0.2024 0.7976
0.0000 0.7984 0.7984
0.5000 0.7976 0.2024
0.5000 0.5000 0.5000
0.0000 0.0000 0.5000
0.0000 0.5000 0.0000
0.5000 0.0000 0.0000
```

Output
- Density: 3.5 g/cm3
- Energy above the most stable polymorph in this dataset: 0 meV per atom
- Formation energy from raw total energies: -1.231 eV/atom
- Total moment: 0.375 μB per atom


Entry 11:
# TbSmGdIn

Crystalline TbSmGdIn at its relaxed geometry (PBE-GGA, Alexandria).

```
TbSmGdIn
1.0
5.4993 0.0000 0.0000
2.7496 4.7625 0.0000
2.7496 1.5875 4.4902
Tb Sm Gd In
1 1 1 1
Direct
0.0000 0.0000 0.0000
0.7500 0.7500 0.7500
0.5000 0.5000 0.5000
0.2500 0.2500 0.2500
```

Output
- Calculated formation energy: -0.133 eV/atom
- Density: 8.2 g/cm3
- Total moment: 2.147 μB per atom


Entry 12:
# Fe4Ir6Rh

Crystalline Fe4Ir6Rh at its relaxed geometry (PBE-GGA, Alexandria).

```
Fe4Ir6Rh
1.0
5.2008 0.0000 0.0000
-2.6004 6.2106 2.6004
0.0000 0.0000 5.2008
Fe Ir Rh
4 6 1
Direct
0.3834 0.3448 0.0386
0.6166 0.6552 0.3834
0.9614 0.3448 0.6166
0.0386 0.6552 0.9614
0.0000 0.0000 0.5000
0.8237 0.2713 0.1763
0.4476 0.2713 0.5524
0.1763 0.7287 0.4476
0.5000 0.0000 0.0000
0.5524 0.7287 0.8237
0.0000 0.0000 0.0000
```

Output
- Calculated formation energy: 0.363 eV/atom
- Density: 14.6 g/cm3
- Total moment: 1.101 μB per atom